# 1
AcPa2CuN4 | PBE | relaxed

Cell lengths 3.6139, 11.7642, 11.5596 Å; angles 90.00, 90.00, 90.00 degrees
Space group Cmcm (No. 63)
One atom of each set of equivalent atoms:
Ac: 0.0000 0.0973 0.2500 x4
Pa: 0.0000 0.3701 0.0556 x8
Cu: 0.0000 0.1724 0.7500 x4
N: 0.0000 0.0000 0.0000 x4
N: 0.0000 0.2627 0.6048 x8
N: 0.0000 0.4288 0.2500 x4

Results
ΔE_f (raw) ... -1235 meV per atom

=====

# 2
AlTl | PBE | relaxed

Cell lengths 5.8282, 5.8282, 5.8282 Å; angles 90.00, 90.00, 90.00 degrees
Space group P2_13 (No. 198)
One atom of each set of equivalent atoms:
Al: 0.0987 0.4013 0.5987 x4
Tl: 0.0903 0.9097 0.4097 x4

Results
Energy relative to the elements ... 0.338 eV per atom